1.
DFT (PBE) results for a relaxed Lu3InCo crystal.

Cell lengths 5.0427, 5.0427, 5.0427 Å; angles 90.00, 90.00, 90.00 degrees
Closest atoms and distances in Å follow each position.
Sites, in units of the cell vectors:
Co1 0.0000 0.0000 0.0000  6 Lu 2.52
Lu1 0.0000 0.5000 0.0000  2 Co 2.52
Lu2 0.5000 0.0000 0.0000  2 Co 2.52
In1 0.5000 0.5000 0.5000  12 Lu 3.57
Lu3 0.0000 0.0000 0.5000  2 Co 2.52

- E_form (meV/atom) = -193

2.
DFT (PBE) results for a relaxed LuInCoNi crystal.

Cell lengths 4.5259, 4.5259, 4.5259 Å; angles 60.00, 60.00, 60.00 degrees
Closest atoms and distances in Å follow each position.
Sites, in units of the cell vectors:
Ni1 0.7500 0.7500 0.7500  4 In 2.77, 4 Lu 2.77
Co1 0.2500 0.2500 0.2500  4 In 2.77, 4 Lu 2.77
In1 0.5000 0.5000 0.5000  4 Ni 2.77, 4 Co 2.77
Lu1 0.0000 0.0000 0.0000  4 Co 2.77, 4 Ni 2.77

- E_form (meV/atom) = -279

3.
DFT (PBE) results for a relaxed LuInCoPd crystal.

Cell lengths 4.6381, 4.6381, 4.6381 Å; angles 60.00, 60.00, 60.00 degrees
Closest atoms and distances in Å follow each position.
Sites, in units of the cell vectors:
Co1 0.5000 0.5000 0.5000  4 In 2.84, 4 Lu 2.84
In1 0.7500 0.7500 0.7500  4 Co 2.84, 4 Pd 2.84
Pd1 0.0000 0.0000 0.0000  4 In 2.84, 4 Lu 2.84
Lu1 0.2500 0.2500 0.2500  4 Co 2.84, 4 Pd 2.84

- E_form (meV/atom) = -471

4.
DFT (PBE) results for a relaxed SmLuInCo crystal.

Cell lengths 5.0903, 5.0903, 5.0903 Å; angles 60.00, 60.00, 60.00 degrees
Closest atoms and distances in Å follow each position.
Sites, in units of the cell vectors:
Co1 0.2500 0.2500 0.2500  4 Sm 3.12, 4 Lu 3.12
Lu1 0.5000 0.5000 0.5000  4 Co 3.12, 4 In 3.12
Sm1 0.0000 0.0000 0.0000  4 In 3.12, 4 Co 3.12
In1 0.7500 0.7500 0.7500  4 Sm 3.12, 4 Lu 3.12

- E_form (meV/atom) = -175

5.
DFT (PBE) results for a relaxed TbLuInCo crystal.

Cell lengths 5.0416, 5.0416, 5.0416 Å; angles 60.00, 60.00, 60.00 degrees
Closest atoms and distances in Å follow each position.
Sites, in units of the cell vectors:
Lu1 0.7500 0.7500 0.7500  4 In 3.09, 4 Co 3.09
Co1 0.5000 0.5000 0.5000  4 Lu 3.09, 4 Tb 3.09
In1 0.0000 0.0000 0.0000  4 Lu 3.09, 4 Tb 3.09
Tb1 0.2500 0.2500 0.2500  4 In 3.09, 4 Co 3.09

- E_form (meV/atom) = -205

6.
DFT (PBE) results for a relaxed TmLuInCo crystal.

Cell lengths 4.9928, 4.9928, 4.9928 Å; angles 60.00, 60.00, 60.00 degrees
Closest atoms and distances in Å follow each position.
Sites, in units of the cell vectors:
Tm1 0.7500 0.7500 0.7500  4 In 3.06, 4 Co 3.06
In1 0.0000 0.0000 0.0000  4 Tm 3.06, 4 Lu 3.06
Co1 0.5000 0.5000 0.5000  4 Lu 3.06, 4 Tm 3.06
Lu1 0.2500 0.2500 0.2500  4 In 3.06, 4 Co 3.06

- E_form (meV/atom) = -222

7.
DFT (PBE) results for a relaxed YLuInCo crystal.

Cell lengths 5.0368, 5.0368, 5.0368 Å; angles 60.00, 60.00, 60.00 degrees
Closest atoms and distances in Å follow each position.
Sites, in units of the cell vectors:
Lu1 0.2500 0.2500 0.2500  4 In 3.08, 4 Co 3.08
Y1 0.7500 0.7500 0.7500  4 In 3.08, 4 Co 3.08
Co1 0.5000 0.5000 0.5000  4 Lu 3.08, 4 Y 3.08
In1 0.0000 0.0000 0.0000  4 Lu 3.08, 4 Y 3.08

- E_form (meV/atom) = -217

8.
DFT (PBE) results for a relaxed MgIn2Co crystal.

Cell lengths 4.2557, 4.2557, 4.0508 Å; angles 90.00, 90.00, 89.98 degrees
Closest atoms and distances in Å follow each position.
Sites, in units of the cell vectors:
Co1 0.0000 0.5000 0.5000  8 In 2.94, 4 Mg 3.01
In1 0.5000 0.5000 0.0000  4 Mg 2.94, 4 Co 2.94, 4 In 3.01
Mg1 0.5000 0.0000 0.5000  8 In 2.94, 4 Co 3.01
In2 0.0000 0.0000 0.0000  4 Co 2.94, 4 Mg 2.94, 4 In 3.01

- E_form (meV/atom) = 172